# 1
Compound: Ce2ZnAs3
Source: the Alexandria database
Functional: PBE-GGA
Structure: relaxed

a = 8.263 Å, b = 4.153 Å, c = 16.301 Å
α = 90.00°, β = 90.00°, γ = 90.00°
Space group Pnma (No. 62)
One atom of each set of equivalent atoms:
1 Ce 0.089 0.250 0.217
2 Ce 0.247 0.250 0.965
3 Zn 0.117 0.250 0.635
4 As 0.024 0.250 0.404
5 As 0.109 0.750 0.073
6 As 0.181 0.250 0.783

Output
Raw total energy ... -132.74 eV/cell
Volume ... 23.3 A^3/atom
E_form ... -98.0 kJ per mole of atoms

***

# 2
Compound: Tb2Dy3Er6Zr
Source: the Alexandria database
Functional: PBE-GGA
Structure: relaxed

a = 6.056 Å, b = 10.473 Å, c = 11.564 Å
α = 90.00°, β = 99.98°, γ = 90.00°
Space group C2/m (No. 12)
One atom of each set of equivalent atoms:
1 Tb 0.000 0.167 0.000
2 Dy 0.000 0.000 0.500
3 Dy 0.000 0.334 0.500
4 Er 0.245 0.337 0.245
5 Er 0.245 0.500 0.755
6 Zr 0.000 0.500 0.000

Output
Raw total energy ... -116.95 eV/cell
Volume ... 30.1 A^3/atom
E_form ... 4.2 kJ per mole of atoms

***

- Look up the E_form of the second one.
  4.2 kJ per mole of atoms